An optimized crystal structure of Zr2TiVN. Source: Alexandria via LeMat-Bulk, functional PBE.

## Properties
ΔE_f (raw)   -0.615 eV per atom
E_tot   -9.102 eV per atom

```
5
Lattice="4.592 0.000 0.000 0.000 4.592 0.000 0.000 0.000 3.864" Properties=species:S:1:pos:R:3 pbc="T T T"
Zr 0.000 2.296 0.000
Zr 2.296 0.000 0.000
Ti 0.000 0.000 1.932
V 2.296 2.296 1.932
N 2.296 2.296 0.000
```

---

An optimized crystal structure of ZrTi2VN. Source: Alexandria via LeMat-Bulk, functional PBE.

## Properties
ΔE_f (raw)   -0.638 eV per atom
E_tot   -8.994 eV per atom

```
5
Lattice="4.095 0.000 0.000 0.000 4.095 0.000 0.000 0.000 4.541" Properties=species:S:1:pos:R:3 pbc="T T T"
Zr 0.000 0.000 0.000
Ti 0.000 2.048 2.270
Ti 2.048 0.000 2.270
V 2.048 2.048 0.000
N 0.000 0.000 2.270
```

---

An optimized crystal structure of Zr2TiVN. Source: Alexandria via LeMat-Bulk, functional PBE.

## Properties
ΔE_f (raw)   -0.612 eV per atom
E_tot   -9.099 eV per atom

```
5
Lattice="4.567 0.000 0.000 0.000 4.567 0.000 0.000 0.000 3.993" Properties=species:S:1:pos:R:3 pbc="T T T"
Zr 0.000 2.283 0.000
Zr 2.283 0.000 0.000
Ti 0.000 0.000 1.996
V 2.283 2.283 1.996
N 0.000 0.000 0.000
```

---

An optimized crystal structure of Ti3WN. Source: Alexandria via LeMat-Bulk, functional PBE.

## Properties
ΔE_f (raw)   -0.670 eV per atom
E_tot   -9.663 eV per atom

```
5
Lattice="4.131 0.000 0.000 0.000 4.131 0.000 0.000 0.000 4.131" Properties=species:S:1:pos:R:3 pbc="T T T"
Ti 0.000 0.000 2.065
Ti 0.000 2.065 0.000
Ti 2.065 0.000 0.000
W 2.065 2.065 2.065
N 0.000 0.000 0.000
```

---

An optimized crystal structure of TiWN2. Source: Alexandria via LeMat-Bulk, functional PBE.

## Properties
ΔE_f (raw)   -0.298 eV per atom
E_tot   -9.672 eV per atom

```
4
Lattice="1.512 0.873 6.277 -1.512 0.873 6.277 0.000 -1.746 6.277" Properties=species:S:1:pos:R:3 pbc="T T T"
Ti 0.000 0.000 0.000
W 0.000 0.000 9.416
N 0.000 0.000 1.977
N 0.000 0.000 16.855
```

---

An optimized crystal structure of TiWN2. Source: Alexandria via LeMat-Bulk, functional PBE.

## Properties
ΔE_f (raw)   -0.590 eV per atom
E_tot   -9.964 eV per atom

```
4
Lattice="1.511 0.872 6.084 -1.511 0.872 6.084 0.000 -1.745 6.084" Properties=species:S:1:pos:R:3 pbc="T T T"
Ti 0.000 0.000 0.000
W 0.000 0.000 9.126
N 0.000 0.000 7.186
N 0.000 0.000 11.066
```

---

An optimized crystal structure of TiWN2. Source: Alexandria via LeMat-Bulk, functional PBE.

## Properties
ΔE_f (raw)   -0.371 eV per atom
E_tot   -9.746 eV per atom

```
4
Lattice="0.000 2.664 2.664 2.664 0.000 2.664 2.664 2.664 0.000" Properties=species:S:1:pos:R:3 pbc="T T T"
Ti 0.000 0.000 0.000
W 2.664 2.664 2.664
N 1.332 1.332 1.332
N 3.997 3.997 3.997
```

---

An optimized crystal structure of TiWN2. Source: Alexandria via LeMat-Bulk, functional PBE.

## Properties
ΔE_f (raw)   -0.648 eV per atom
E_tot   -10.023 eV per atom

```
8
Lattice="-2.313 2.313 4.653 2.313 -2.313 4.653 2.313 2.313 -4.653" Properties=species:S:1:pos:R:3 pbc="T T T"
Ti 0.000 0.000 0.000
Ti 0.000 2.313 2.327
W 2.313 0.000 2.327
W 0.000 0.000 4.653
N 1.157 -1.149 3.490
N 1.164 1.157 1.163
N 1.157 3.462 -1.163
N 1.149 1.157 5.817
```

---

An optimized crystal structure of Ti3WN. Source: Alexandria via LeMat-Bulk, functional PBE.

## Properties
ΔE_f (raw)   1.889 eV per atom
E_tot   -7.103 eV per atom

```
5
Lattice="4.746 0.000 0.000 0.000 4.746 0.000 0.000 0.000 4.746" Properties=species:S:1:pos:R:3 pbc="T T T"
Ti 0.000 0.000 2.373
Ti 0.000 2.373 0.000
Ti 2.373 0.000 0.000
W 0.000 0.000 0.000
N 2.373 2.373 2.373
```

---

An optimized crystal structure of YTiN3. Source: Alexandria via LeMat-Bulk, functional PBE.

## Properties
ΔE_f (raw)   -0.699 eV per atom
E_tot   -8.566 eV per atom

```
5
Lattice="3.915 0.000 0.000 0.000 3.915 0.000 0.000 0.000 3.915" Properties=species:S:1:pos:R:3 pbc="T T T"
Y 0.000 0.000 0.000
Ti 1.957 1.957 1.957
N 0.000 1.957 1.957
N 1.957 0.000 1.957
N 1.957 1.957 0.000
```

---

An optimized crystal structure of YTiN2. Source: Alexandria via LeMat-Bulk, functional PBE.

## Properties
ΔE_f (raw)   -1.379 eV per atom
E_tot   -9.131 eV per atom

```
8
Lattice="-2.491 2.491 4.837 2.491 -2.491 4.837 2.491 2.491 -4.837" Properties=species:S:1:pos:R:3 pbc="T T T"
Y 0.000 0.000 0.000
Y 0.000 2.491 2.419
Ti 2.491 0.000 2.419
Ti 0.000 0.000 4.837
N 1.246 -0.985 3.628
N 1.507 1.246 1.209
N 1.246 3.476 -1.209
N 0.985 1.246 6.046
```

---

An optimized crystal structure of Y3TiN. Source: Alexandria via LeMat-Bulk, functional PBE.

## Properties
ΔE_f (raw)   1.458 eV per atom
E_tot   -5.664 eV per atom

```
5
Lattice="5.206 0.000 0.000 0.000 5.206 0.000 0.000 0.000 5.206" Properties=species:S:1:pos:R:3 pbc="T T T"
Y 0.000 0.000 2.603
Y 0.000 2.603 0.000
Y 2.603 0.000 0.000
Ti 0.000 0.000 0.000
N 2.603 2.603 2.603
```

---

An optimized crystal structure of Y2TiN2. Source: Alexandria via LeMat-Bulk, functional PBE.

## Properties
ΔE_f (raw)   -0.827 eV per atom
E_tot   -8.321 eV per atom

```
10
Lattice="6.483 0.000 0.000 0.000 6.483 0.000 0.000 0.000 3.475" Properties=species:S:1:pos:R:3 pbc="T T T"
Y 1.041 2.201 0.000
Y 2.201 5.442 0.000
Y 4.283 1.041 0.000
Y 5.442 4.283 0.000
Ti 0.000 0.000 1.738
Ti 3.242 3.242 1.738
N 1.103 4.344 1.738
N 2.139 1.103 1.738
N 4.344 5.381 1.738
N 5.381 2.139 1.738
```

---

An optimized crystal structure of YTiN2. Source: Alexandria via LeMat-Bulk, functional PBE.

## Properties
ΔE_f (raw)   -0.591 eV per atom
E_tot   -8.344 eV per atom

```
4
Lattice="0.000 2.846 2.846 2.846 0.000 2.846 2.846 2.846 0.000" Properties=species:S:1:pos:R:3 pbc="T T T"
Y 0.000 0.000 0.000
Ti 2.846 2.846 2.846
N 1.423 1.423 1.423
N 4.269 4.269 4.269
```

---

An optimized crystal structure of YTiN. Source: Alexandria via LeMat-Bulk, functional PBE.

## Properties
ΔE_f (raw)   -0.703 eV per atom
E_tot   -8.265 eV per atom

```
6
Lattice="3.382 0.000 0.000 0.000 3.382 0.000 0.000 0.000 8.437" Properties=species:S:1:pos:R:3 pbc="T T T"
Y 0.846 0.846 1.595
Y 2.537 2.537 6.842
Ti 0.846 2.537 4.219
Ti 2.537 0.846 4.219
N 0.846 0.846 5.737
N 2.537 2.537 2.700
```

---

An optimized crystal structure of Y2TiN. Source: Alexandria via LeMat-Bulk, functional PBE.

## Properties
ΔE_f (raw)   -0.082 eV per atom
E_tot   -7.370 eV per atom

```
8
Lattice="-3.566 3.566 3.604 3.566 -3.566 3.604 3.566 3.566 -3.604" Properties=species:S:1:pos:R:3 pbc="T T T"
Y 5.350 1.033 -0.901
Y 1.033 1.783 0.901
Y -1.783 2.534 2.703
Y 2.534 1.783 4.505
Ti 3.566 0.000 1.802
Ti 0.000 0.000 3.604
N 0.000 0.000 0.000
N 0.000 3.566 1.802
```

---

An optimized crystal structure of Y2TiN. Source: Alexandria via LeMat-Bulk, functional PBE.

## Properties
ΔE_f (raw)   -0.429 eV per atom
E_tot   -7.716 eV per atom

```
4
Lattice="1.688 0.975 8.710 -1.688 0.975 8.710 0.000 -1.949 8.710" Properties=species:S:1:pos:R:3 pbc="T T T"
Y 0.000 0.000 2.990
Y 0.000 0.000 23.141
Ti 0.000 0.000 0.000
N 0.000 0.000 13.065
```

---

An optimized crystal structure of YTiN2. Source: Alexandria via LeMat-Bulk, functional PBE.

## Properties
ΔE_f (raw)   -1.407 eV per atom
E_tot   -9.159 eV per atom

```
4
Lattice="1.579 0.911 5.562 -1.579 0.911 5.562 0.000 -1.823 5.562" Properties=species:S:1:pos:R:3 pbc="T T T"
Y 0.000 0.000 0.000
Ti 0.000 0.000 2.894
N 0.000 0.000 9.593
N 0.000 0.000 12.786
```

---

An optimized crystal structure of YTi4N6. Source: Alexandria via LeMat-Bulk, functional PBE.

## Properties
ΔE_f (raw)   -1.566 eV per atom
E_tot   -9.566 eV per atom

```
22
Lattice="1.517 -4.997 0.000 1.517 4.997 0.000 0.000 0.000 15.473" Properties=species:S:1:pos:R:3 pbc="T T T"
Y 1.517 3.481 11.605
Y 1.517 -3.481 3.868
Ti 1.517 3.931 2.062
Ti 1.517 3.931 5.675
Ti 1.517 1.297 0.752
Ti 1.517 1.297 6.985
Ti 1.517 -1.297 8.488
Ti 1.517 -1.297 14.722
Ti 1.517 -3.931 9.798
Ti 1.517 -3.931 13.412
N 0.000 0.000 0.000
N 0.000 0.000 7.737
N 1.517 3.287 3.868
N 1.517 2.323 9.034
N 1.517 2.323 14.176
N 1.517 0.340 2.413
N 1.517 0.340 5.324
N 1.517 -0.340 10.149
N 1.517 -0.340 13.061
N 1.517 -2.323 1.297
N 1.517 -2.323 6.439
N 1.517 -3.287 11.605
```

---

An optimized crystal structure of YTi3N. Source: Alexandria via LeMat-Bulk, functional PBE.

## Properties
ΔE_f (raw)   2.544 eV per atom
E_tot   -5.151 eV per atom

```
5
Lattice="4.776 0.000 0.000 0.000 4.776 0.000 0.000 0.000 4.776" Properties=species:S:1:pos:R:3 pbc="T T T"
Y 0.000 0.000 0.000
Ti 0.000 0.000 2.388
Ti 0.000 2.388 0.000
Ti 2.388 0.000 0.000
N 2.388 2.388 2.388
```

---

An optimized crystal structure of YTiN3. Source: Alexandria via LeMat-Bulk, functional PBE.

## Properties
ΔE_f (raw)   1.085 eV per atom
E_tot   -6.782 eV per atom

```
5
Lattice="4.208 0.000 0.000 0.000 4.208 0.000 0.000 0.000 4.208" Properties=species:S:1:pos:R:3 pbc="T T T"
Y 0.000 0.000 0.000
Ti 2.104 2.104 2.104
N 0.000 0.000 2.104
N 0.000 2.104 0.000
N 2.104 0.000 0.000
```

---

An optimized crystal structure of YTi3N. Source: Alexandria via LeMat-Bulk, functional PBE.

## Properties
ΔE_f (raw)   -0.484 eV per atom
E_tot   -8.179 eV per atom

```
5
Lattice="4.336 0.000 0.000 0.000 4.336 0.000 0.000 0.000 4.336" Properties=species:S:1:pos:R:3 pbc="T T T"
Y 0.000 0.000 0.000
Ti 0.000 2.168 2.168
Ti 2.168 0.000 2.168
Ti 2.168 2.168 0.000
N 2.168 2.168 2.168
```

---

An optimized crystal structure of YTiN. Source: Alexandria via LeMat-Bulk, functional PBE.

## Properties
ΔE_f (raw)   -0.969 eV per atom
E_tot   -8.531 eV per atom

```
3
Lattice="3.255 0.000 0.000 -1.627 2.819 0.000 0.000 0.000 5.418" Properties=species:S:1:pos:R:3 pbc="T T T"
Y 0.000 0.000 0.000
Ti 1.627 0.940 2.477
N 0.000 1.879 1.509
```

---

An optimized crystal structure of Y3TiN. Source: Alexandria via LeMat-Bulk, functional PBE.

## Properties
ΔE_f (raw)   -0.464 eV per atom
E_tot   -7.587 eV per atom

```
5
Lattice="4.860 0.000 0.000 0.000 4.860 0.000 0.000 0.000 4.860" Properties=species:S:1:pos:R:3 pbc="T T T"
Y 0.000 0.000 2.430
Y 0.000 2.430 0.000
Y 2.430 0.000 0.000
Ti 2.430 2.430 2.430
N 0.000 0.000 0.000
```

---

An optimized crystal structure of Y2TiN2. Source: Alexandria via LeMat-Bulk, functional PBE.

## Properties
ΔE_f (raw)   -0.953 eV per atom
E_tot   -8.448 eV per atom

```
5
Lattice="-2.331 2.331 4.891 2.331 -2.331 4.891 2.331 2.331 -4.891" Properties=species:S:1:pos:R:3 pbc="T T T"
Y 2.331 0.000 2.446
Y 0.000 2.331 2.446
Ti 0.000 0.000 0.000
N 0.000 0.000 1.916
N 0.000 0.000 7.866
```

---

An optimized crystal structure of YTi2ZnN. Source: Alexandria via LeMat-Bulk, functional PBE.

## Properties
ΔE_f (raw)   -0.754 eV per atom
E_tot   -7.125 eV per atom

```
5
Lattice="4.184 0.000 0.000 0.000 4.184 0.000 0.000 0.000 4.694" Properties=species:S:1:pos:R:3 pbc="T T T"
Y 0.000 0.000 0.000
Ti 0.000 2.092 2.347
Ti 2.092 0.000 2.347
Zn 2.092 2.092 0.000
N 0.000 0.000 2.347
```

---

An optimized crystal structure of Ti7Zn2N2. Source: Alexandria via LeMat-Bulk, functional PBE.

## Properties
ΔE_f (raw)   -0.489 eV per atom
E_tot   -7.258 eV per atom

```
11
Lattice="3.278 -4.357 0.000 3.278 4.357 0.000 0.000 0.000 5.484" Properties=species:S:1:pos:R:3 pbc="T T T"
Ti 0.000 0.000 0.000
Ti 1.639 2.179 1.293
Ti 1.639 2.179 4.190
Ti 1.639 -2.179 1.293
Ti 1.639 -2.179 4.190
Ti 3.278 0.000 1.286
Ti 3.278 0.000 4.198
Zn 1.143 0.000 2.742
Zn 5.414 0.000 2.742
N 3.278 1.993 0.000
N 3.278 -1.993 0.000
```